[1]
Entry from Alexandria: a relaxed structure of Tc6Pb4O19 (PBE).

Summary:
- Formation energy without anion corrections: -39.2 eV/f.u.
- N(E_F): 10.16 states/eV/cell
- Raw total energy: -7.2571 eV per atom
- Total magnetization: 0.00 μB per cell

```
Tc6Pb4O19
1.0
-4.676 4.676 4.676
4.676 -4.676 4.676
4.676 4.676 -4.676
Tc Pb O
6 4 19
Direct
0.141 0.641 0.500
0.359 0.500 0.859
0.500 0.141 0.641
0.500 0.859 0.359
0.641 0.500 0.141
0.859 0.359 0.500
0.000 0.000 0.708
0.000 0.708 0.000
0.292 0.292 0.292
0.708 0.000 0.000
0.000 0.000 0.000
0.000 0.334 0.334
0.000 0.666 0.666
0.067 0.365 0.708
0.292 0.657 0.359
0.298 0.933 0.641
0.334 0.000 0.334
0.334 0.334 0.000
0.343 0.635 0.702
0.359 0.292 0.657
0.365 0.708 0.067
0.635 0.702 0.343
0.641 0.298 0.933
0.657 0.359 0.292
0.666 0.000 0.666
0.666 0.666 0.000
0.702 0.343 0.635
0.708 0.067 0.365
0.933 0.641 0.298
```


[2]
Entry from Alexandria: a relaxed structure of TmAlCo4 (PBE).

Summary:
- Distance to the lowest polymorph of the same formula: 0.02 eV/f.u.
- N(E_F): 7.41 states/eV/cell
- Raw total energy: -6.3710 eV per atom
- Total magnetization: 4.20 μB per cell

```
TmAlCo4
1.0
0.000 3.438 3.438
3.438 0.000 3.438
3.438 3.438 0.000
Tm Al Co
1 1 4
Direct
0.000 0.000 0.000
0.750 0.750 0.750
0.376 0.376 0.376
0.376 0.376 0.872
0.376 0.872 0.376
0.872 0.376 0.376
```


[3]
Entry from Alexandria: a relaxed structure of MgPH7O7 (PBE).

Summary:
- N(E_F): 0.00 states/eV/cell
- Raw total energy: -5.6454 eV per atom
- Total magnetization: 0.00 μB per cell

```
MgPH7O7
1.0
10.035 0.000 0.000
0.000 10.369 0.000
0.000 0.000 10.665
Mg P H O
8 8 56 56
Direct
0.086 0.204 0.246
0.086 0.296 0.746
0.414 0.704 0.246
0.414 0.796 0.746
0.586 0.204 0.254
0.586 0.296 0.754
0.914 0.704 0.254
0.914 0.796 0.754
0.156 0.509 0.130
0.156 0.991 0.630
0.344 0.009 0.130
0.344 0.491 0.630
0.656 0.509 0.370
0.656 0.991 0.870
0.844 0.009 0.370
0.844 0.491 0.870
0.020 0.656 0.499
0.020 0.844 0.999
0.037 0.576 0.719
0.037 0.924 0.219
0.100 0.505 0.925
0.100 0.995 0.425
0.132 0.673 0.398
0.132 0.827 0.898
0.153 0.667 0.674
0.153 0.833 0.174
0.182 0.207 0.496
0.182 0.293 0.996
0.237 0.167 0.933
0.237 0.333 0.433
0.263 0.667 0.933
0.263 0.833 0.433
0.318 0.707 0.496
0.318 0.793 0.996
0.347 0.167 0.674
0.347 0.333 0.174
0.368 0.173 0.398
0.368 0.327 0.898
0.400 0.005 0.925
0.400 0.495 0.425
0.463 0.076 0.719
0.463 0.424 0.219
0.480 0.156 0.499
0.480 0.344 0.999
0.520 0.656 0.001
0.520 0.844 0.501
0.537 0.576 0.781
0.537 0.924 0.281
0.600 0.505 0.575
0.600 0.995 0.075
0.632 0.673 0.102
0.632 0.827 0.602
0.653 0.667 0.826
0.653 0.833 0.326
0.682 0.207 0.004
0.682 0.293 0.504
0.737 0.167 0.567
0.737 0.333 0.067
0.763 0.667 0.567
0.763 0.833 0.067
0.818 0.707 0.004
0.818 0.793 0.504
0.847 0.167 0.826
0.847 0.333 0.326
0.868 0.173 0.102
0.868 0.327 0.602
0.900 0.005 0.575
0.900 0.495 0.075
0.963 0.076 0.781
0.963 0.424 0.281
0.980 0.156 0.001
0.980 0.344 0.501
0.010 0.547 0.165
0.010 0.953 0.665
0.035 0.657 0.408
0.035 0.843 0.908
0.054 0.661 0.679
0.054 0.839 0.179
0.175 0.138 0.649
0.175 0.362 0.149
0.175 0.537 0.983
0.175 0.963 0.483
0.200 0.246 0.413
0.200 0.254 0.913
0.240 0.090 0.195
0.240 0.410 0.695
0.260 0.590 0.195
0.260 0.910 0.695
0.300 0.746 0.413
0.300 0.754 0.913
0.325 0.037 0.983
0.325 0.463 0.483
0.325 0.638 0.649
0.325 0.862 0.149
0.446 0.161 0.679
0.446 0.339 0.179
0.465 0.157 0.408
0.465 0.343 0.908
0.490 0.047 0.165
0.490 0.453 0.665
0.510 0.547 0.335
0.510 0.953 0.835
0.535 0.657 0.092
0.535 0.843 0.592
0.554 0.661 0.821
0.554 0.839 0.321
0.675 0.138 0.851
0.675 0.362 0.351
0.675 0.537 0.517
0.675 0.963 0.017
0.700 0.246 0.087
0.700 0.254 0.587
0.740 0.090 0.305
0.740 0.410 0.805
0.760 0.590 0.305
0.760 0.910 0.805
0.800 0.746 0.087
0.800 0.754 0.587
0.825 0.037 0.517
0.825 0.463 0.017
0.825 0.638 0.851
0.825 0.862 0.351
0.946 0.161 0.821
0.946 0.339 0.321
0.965 0.157 0.092
0.965 0.343 0.592
0.990 0.047 0.335
0.990 0.453 0.835
```


[4]
Entry from Alexandria: a relaxed structure of TbTiCuTc (PBE).

Summary:
- N(E_F): 3.01 states/eV/cell
- Raw total energy: -6.8290 eV per atom
- Total magnetization: 0.00 μB per cell

```
TbTiCuTc
1.0
0.000 3.273 3.273
3.273 0.000 3.273
3.273 3.273 0.000
Tb Ti Cu Tc
1 1 1 1
Direct
0.000 0.000 0.000
0.500 0.500 0.500
0.750 0.750 0.750
0.250 0.250 0.250
```